DFT (PBE) results for a relaxed structure of Hf2RePt.

Cell lengths 4.2510, 4.2510, 17.9074 Å; angles 90.00, 90.00, 90.00 degrees
Space group I-42d (No. 122)
Unique sites:
Hf 0.2468 0.2500 0.1250 [8 per cell]
Re 0.0000 0.0000 0.0000 [4 per cell]
Pt 0.0000 0.0000 0.5000 [4 per cell]

Output
The formation energy is 0.336 eV per atom. Its magnetization is 2.91 μB/cell.